No. 1
Computed, not measured: a relaxed structure of KMgAg2Rh at the PBE level of DFT.

The structure belongs to space group P4/mmm (No. 123); the cell edges are 4.9338, 4.9338 and 5.5068 Å and the angles 90.00°, 90.00° and 90.00°. The asymmetric unit holds K at (0.0000, 0.0000, 0.0000), Mg at (0.0000, 0.0000, 0.5000), Ag at (0.0000, 0.5000, 0.5000) and Rh at (0.5000, 0.5000, 0.0000).

The value obtained for the formation energy is 5.304 eV per formula unit. For the uncorrected energy, the calculation gives -10.4 eV per cell.



No. 2
Computed, not measured: a relaxed structure of KMgAgS2 at the PBE level of DFT.

The structure belongs to space group Cmme (No. 67); the cell edges are 6.1969, 13.8200 and 6.0217 Å and the angles 90.00°, 90.00° and 90.00°. The asymmetric unit holds K at (0.0000, 0.2500, 0.2470), Mg at (0.2500, 0.0000, 0.5000), Ag at (0.0000, 0.0000, 0.0000) and S at (0.0000, 0.1112, 0.6977).

The formation energy without anion corrections comes out at -0.97 eV/atom. For the uncorrected energy, the calculation gives -74.7 eV per cell.



No. 3
Computed, not measured: a relaxed structure of K2MgAg3Sb4 at the PBE level of DFT.

The structure belongs to space group P-4m2 (No. 115); the cell edges are 4.6850, 4.6850 and 12.5422 Å and the angles 90.00°, 90.00° and 90.00°. The asymmetric unit holds K at (0.0000, 0.5000, 0.2468), Mg at (0.5000, 0.5000, 0.0000), Ag at (0.0000, 0.0000, 0.0000), Ag at (0.0000, 0.5000, 0.6433), Sb at (0.0000, 0.0000, 0.5000), Sb at (0.0000, 0.5000, 0.8645) and Sb at (0.5000, 0.5000, 0.5000).

The formation energy without anion corrections comes out at -0.27 eV/atom. For the uncorrected energy, the calculation gives -31.5 eV per cell.



No. 4
Computed, not measured: a relaxed structure of KMg2Ag2Sb2 at the PBE level of DFT.

The structure belongs to space group R-3m (No. 166, hexagonal axes); the cell edges are 4.7694, 4.7694 and 28.2689 Å and the angles 90.00°, 90.00° and 120.00°. The asymmetric unit holds K at (0.0000, 0.0000, 0.0000), Mg at (0.0000, 0.0000, 0.1393), Ag at (0.0000, 0.0000, 0.4493) and Sb at (0.0000, 0.0000, 0.2479).

The formation energy without anion corrections comes out at -0.30 eV/atom. For the uncorrected energy, the calculation gives -61.0 eV per cell.



No. 5
Computed, not measured: a relaxed structure of K2SrMgAg at the PBE level of DFT.

The structure belongs to space group P4/mmm (No. 123); the cell edges are 6.4683, 6.4683 and 6.6828 Å and the angles 90.00°, 90.00° and 90.00°. The asymmetric unit holds K at (0.0000, 0.5000, 0.0000), Sr at (0.0000, 0.0000, 0.5000), Mg at (0.0000, 0.0000, 0.0000) and Ag at (0.5000, 0.5000, 0.5000).

The value obtained for the formation energy is 2.313 eV per formula unit. For the uncorrected energy, the calculation gives -6.0 eV per cell.



No. 6
Computed, not measured: a relaxed structure of KMgVAg2 at the PBE level of DFT.

The structure belongs to space group P4/mmm (No. 123); the cell edges are 5.2911, 5.2911 and 5.4773 Å and the angles 90.00°, 90.00° and 90.00°. The asymmetric unit holds K at (0.0000, 0.0000, 0.0000), Mg at (0.0000, 0.0000, 0.5000), V at (0.5000, 0.5000, 0.5000) and Ag at (0.0000, 0.5000, 0.0000).

The value obtained for the formation energy is 9.014 eV per formula unit. For the uncorrected energy, the calculation gives -8.5 eV per cell.